No. 1
First-principles (PBE-GGA) data for crystalline TlSnPb2Br at its relaxed geometry, as listed in Alexandria.

The value obtained for the raw formation energy is -21.13 kJ/mol of atoms. The total magnetization comes out at 0.0 μB/f.u. The space-group type is Cm, No. 8. As for the crystal system: monoclinic. As for the total energy: -3.311 eV/atom. As for the density of states at the Fermi level: 2.2 states/eV/f.u.

Cell: 4.0846 3.7837 21.0348 Å, 90.00 101.06 90.00°
With the nearest neighbours (Å) after each atom.
Fractional coordinates of all 10 atoms:
Pb: 0.0146 0.0000 0.4634  4 Sn 3.26, 1 Pb 3.46
Pb: 0.0146 0.5000 0.9634  4 Sn 3.26, 1 Pb 3.46
Pb: 0.8495 0.0000 0.2957  4 Sn 3.30, 1 Pb 3.46
Pb: 0.8495 0.5000 0.7957  4 Sn 3.30, 1 Pb 3.46
Tl: 0.6364 0.0000 0.0881  4 Br 3.26
Tl: 0.6364 0.5000 0.5881  4 Br 3.26
Sn: 0.4341 0.0000 0.8815  8 Pb 3.26-3.30
Sn: 0.4341 0.5000 0.3815  8 Pb 3.26-3.30
Br: 0.2183 0.0000 0.6705  4 Tl 3.26
Br: 0.2183 0.5000 0.1705  4 Tl 3.26

***

No. 2
First-principles (PBE-GGA) data for crystalline TbMn4Ga8 at its relaxed geometry, as listed in Alexandria.

The total magnetization comes out at 8.7 μB/f.u. The space-group type is I4/mmm, No. 139. The calculation puts the calculated formation energy at -0.258 eV/atom. As for the crystal system: tetragonal. As for the total energy: -5.298 eV/atom. As for the density of states at the Fermi level: 8.7 states/eV/f.u.

Cell: 5.2122 6.7376 6.7376 Å, 81.40 67.24 67.24°
With the nearest neighbours (Å) after each atom.
Fractional coordinates of all 13 atoms:
Tb: 0.0000 0.0000 0.0000  12 Ga 2.93-3.28
Mn: 0.0000 0.0000 0.5000  8 Ga 2.56-2.66, 2 Mn 2.61
Mn: 0.5000 0.0000 0.5000  8 Ga 2.56-2.66, 2 Mn 2.61
Mn: 0.0000 0.5000 0.0000  8 Ga 2.56-2.66, 2 Mn 2.61
Mn: 0.5000 0.5000 0.0000  8 Ga 2.56-2.66, 2 Mn 2.61
Ga: 0.0000 0.3338 0.6662  4 Mn 2.66, 5 Ga 2.77-2.92, 1 Tb 2.93
Ga: 0.0000 0.6662 0.3338  4 Mn 2.66, 5 Ga 2.77-2.92, 1 Tb 2.93
Ga: 0.3338 0.6662 0.6662  4 Mn 2.66, 5 Ga 2.77-2.92, 1 Tb 2.93
Ga: 0.6662 0.3338 0.3338  4 Mn 2.66, 5 Ga 2.77-2.92, 1 Tb 2.93
Ga: 0.5000 0.7727 0.2273  4 Mn 2.56, 6 Ga 2.77-2.82
Ga: 0.5000 0.2273 0.7727  4 Mn 2.56, 6 Ga 2.77-2.82
Ga: 0.2727 0.2273 0.2273  4 Mn 2.56, 6 Ga 2.77-2.82
Ga: 0.7273 0.7727 0.7727  4 Mn 2.56, 6 Ga 2.77-2.82

***

No. 3
First-principles (PBE-GGA) data for crystalline TlHg6Pb at its relaxed geometry, as listed in Alexandria.

The total magnetization comes out at 0.0 μB/f.u. The space-group type is Amm2, No. 38. The calculation puts the calculated formation energy at 0.024 eV/atom. As for the crystal system: orthorhombic. As for the total energy: -0.962 eV/atom. As for the density of states at the Fermi level: 3.8 states/eV/f.u.

Cell: 5.0483 7.0895 7.0895 Å, 118.93 90.00 90.00°
With the nearest neighbours (Å) after each atom.
Fractional coordinates of all 8 atoms:
Tl: 0.5000 0.3809 0.6191  10 Hg 3.30-3.68
Hg: 0.0000 0.0525 0.3762  6 Hg 3.09-3.38, 2 Tl 3.30, 1 Pb 3.35
Hg: 0.0000 0.6238 0.9475  6 Hg 3.09-3.38, 2 Tl 3.30, 1 Pb 3.35
Hg: 0.0000 0.5575 0.4425  6 Hg 3.21-3.38, 2 Tl 3.32
Hg: 0.5000 0.4441 0.1253  6 Hg 3.10-3.34, 2 Pb 3.28, 1 Tl 3.39
Hg: 0.5000 0.8747 0.5559  6 Hg 3.10-3.34, 2 Pb 3.28, 1 Tl 3.39
Hg: 0.5000 0.9445 0.0555  6 Hg 3.23-3.33, 2 Pb 3.33
Pb: 0.0000 0.1217 0.8783  8 Hg 3.28-3.35

***

No. 4
First-principles (PBE-GGA) data for crystalline NdMgInAg at its relaxed geometry, as listed in Alexandria.

The total magnetization comes out at 0.0 μB/f.u. The space-group type is F-43m, No. 216. The calculation puts the calculated formation energy at -0.358 eV/atom. As for the crystal system: cubic. As for the total energy: -3.346 eV/atom. As for the density of states at the Fermi level: 1.6 states/eV/f.u.

Cell: 5.1466 5.1466 5.1466 Å, 60.00 60.00 60.00°
With the nearest neighbours (Å) after each atom.
Fractional coordinates of all 4 atoms:
Mg: 0.5000 0.5000 0.5000  4 In 3.15, 4 Ag 3.15
Nd: 0.0000 0.0000 0.0000  4 Ag 3.15, 4 In 3.15
Ag: 0.2500 0.2500 0.2500  4 Mg 3.15, 4 Nd 3.15
In: 0.7500 0.7500 0.7500  4 Mg 3.15, 4 Nd 3.15